[1]
A relaxed structure of TcIrN3, computed with PBE.

a b c (Å): 3.852 3.852 3.852
angles (deg): 90.00 90.00 90.00
Space group Pm-3m (No. 221)
Inequivalent atoms, fractional coordinates:
Tc1 0.000 0.000 0.000 [1 per cell]
Ir1 0.500 0.500 0.500 [1 per cell]
N1 0.000 0.500 0.500 [3 per cell]

Values from the calculation:
* Fermi-level density of states: 3.8 states/eV/cell
* spin magnetization: 1.547 μB/f.u.
* uncorrected formation energy: 1.69 eV per atom

---

[2]
A relaxed structure of La2In3Au, computed with PBE.

a b c (Å): 3.856 4.950 8.610
angles (deg): 90.00 90.00 90.00
Space group Pmm2 (No. 25)
Inequivalent atoms, fractional coordinates:
La1 0.000 0.000 0.000 [1 per cell]
La2 0.000 0.500 0.478 [1 per cell]
In1 0.500 0.000 0.647 [1 per cell]
In2 0.500 0.500 0.159 [1 per cell]
In3 0.500 0.500 0.821 [1 per cell]
Au1 0.500 0.000 0.319 [1 per cell]

Values from the calculation:
* formation energy from the elements: -612.2 meV/atom
* Fermi-level density of states: 4.6 states/eV/cell
* spin magnetization: 0.000 μB/f.u.

---

[3]
A relaxed structure of AcNpPt, computed with PBE.

a b c (Å): 4.9894 4.9894 7.4691
angles (deg): 90.00 90.00 120.00
Space group P6_3/mmc (No. 194)
Inequivalent atoms, fractional coordinates:
Ac1 0.0000 0.0000 0.0000 [2 per cell]
Np1 0.3333 0.6667 0.2500 [2 per cell]
Pt1 0.3333 0.6667 0.7500 [2 per cell]

Values from the calculation:
* formation energy from the elements: -185.8 meV/atom
* Fermi-level density of states: 19.9 states/eV/cell
* spin magnetization: 4.626 μB/f.u.

---

[4]
A relaxed structure of UFeNiPt, computed with PBE.

a b c (Å): 3.702 3.843 4.196
angles (deg): 90.00 90.00 90.00
Space group Pmmm (No. 47)
Inequivalent atoms, fractional coordinates:
U1 0.000 0.000 0.000 [1 per cell]
Fe1 0.500 0.500 0.000 [1 per cell]
Ni1 0.500 0.000 0.500 [1 per cell]
Pt1 0.000 0.500 0.500 [1 per cell]

Values from the calculation:
* formation energy from the elements: -391.4 meV/atom
* Fermi-level density of states: 1.9 states/eV/cell
* spin magnetization: 0.137 μB/f.u.

---

[5]
A relaxed structure of DyVNi2, computed with PBE.

a b c (Å): 4.0700 4.0700 14.1819
angles (deg): 90.00 90.00 120.00
Space group R-3m (No. 166, hexagonal axes)
Inequivalent atoms, fractional coordinates:
Dy1 0.0000 0.0000 0.0000 [3 per cell]
V1 0.0000 0.0000 0.5000 [3 per cell]
Ni1 0.0000 0.0000 0.2005 [6 per cell]

Values from the calculation:
* formation energy from the elements: -234.9 meV/atom
* Fermi-level density of states: 9.8 states/eV/cell
* spin magnetization: 0.000 μB/f.u.

---

[6]
A relaxed structure of CaLuSi, computed with PBE.

a b c (Å): 6.879 6.879 6.879
angles (deg): 90.00 90.00 90.00
Space group F-43m (No. 216)
Inequivalent atoms, fractional coordinates:
Ca1 0.000 0.000 0.000 [4 per cell]
Lu1 0.000 0.000 0.500 [4 per cell]
Si1 0.250 0.250 0.750 [4 per cell]

Values from the calculation:
* Fermi-level density of states: 6.0 states/eV/cell
* spin magnetization: 0.002 μB/f.u.
* uncorrected formation energy: -0.37 eV per atom

---

[7]
A relaxed structure of CsSr2LaI8, computed with PBE.

a b c (Å): 7.617 7.962 10.324
angles (deg): 89.97 89.95 89.79
Space group P-1 (No. 2)
Inequivalent atoms, fractional coordinates:
Cs1 0.000 0.000 0.000 [1 per cell]
Sr1 0.500 0.500 0.249 [2 per cell]
La1 0.000 0.000 0.500 [1 per cell]
I1 0.250 0.839 0.710 [2 per cell]
I2 0.251 0.840 0.290 [2 per cell]
I3 0.255 0.332 0.500 [2 per cell]
I4 0.262 0.391 0.000 [2 per cell]

Values from the calculation:
* Fermi-level density of states: 0.0 states/eV/cell
* spin magnetization: 0.000 μB/f.u.
* uncorrected formation energy: -1.58 eV per atom

---

[8]
A relaxed structure of Nd8InPb5, computed with PBE.

a b c (Å): 9.702 9.702 9.704
angles (deg): 90.00 90.00 90.00
Space group I-4 (No. 82)
Inequivalent atoms, fractional coordinates:
Nd1 0.067 0.180 0.304 [8 per cell]
Nd2 0.072 0.319 0.945 [8 per cell]
In1 0.000 0.500 0.250 [2 per cell]
Pb1 0.000 0.000 0.000 [2 per cell]
Pb2 0.125 0.252 0.624 [8 per cell]

Values from the calculation:
* formation energy from the elements: -533.6 meV/atom
* Fermi-level density of states: 21.3 states/eV/cell
* spin magnetization: 0.000 μB/f.u.

---

[9]
A relaxed structure of AcZnCu6Si, computed with PBE.

a b c (Å): 6.637 6.764 13.507
angles (deg): 90.00 90.00 90.00
Space group Imma (No. 74)
Inequivalent atoms, fractional coordinates:
Ac1 0.000 0.250 0.048 [4 per cell]
Zn1 0.000 0.000 0.500 [4 per cell]
Cu1 0.000 0.250 0.369 [4 per cell]
Cu2 0.000 0.250 0.800 [4 per cell]
Cu3 0.195 0.064 0.659 [16 per cell]
Si1 0.250 0.250 0.250 [4 per cell]

Values from the calculation:
* Fermi-level density of states: 21.0 states/eV/cell
* spin magnetization: 0.000 μB/f.u.
* uncorrected formation energy: 0.00 eV per atom

---

[10]
A relaxed structure of BeGa2I8, computed with PBE.

a b c (Å): 14.482 8.834 9.263
angles (deg): 90.00 102.95 90.00
Space group C2/m (No. 12)
Inequivalent atoms, fractional coordinates:
Be1 0.000 0.000 0.000 [2 per cell]
Ga1 0.213 0.000 0.311 [4 per cell]
I1 0.106 0.208 0.141 [8 per cell]
I2 0.119 0.500 0.721 [4 per cell]
I3 0.185 0.000 0.570 [4 per cell]

Values from the calculation:
* Fermi-level density of states: 0.0 states/eV/cell
* spin magnetization: 0.000 μB/f.u.
* uncorrected formation energy: -0.40 eV per atom

---

[11]
A relaxed structure of SrLi2Sm2Ge2, computed with PBE.

a b c (Å): 4.6551 4.6551 28.2122
angles (deg): 90.00 90.00 120.00
Space group R-3m (No. 166, hexagonal axes)
Inequivalent atoms, fractional coordinates:
Sr1 0.0000 0.0000 0.0000 [3 per cell]
Li1 0.0000 0.0000 0.4114 [6 per cell]
Sm1 0.0000 0.0000 0.1294 [6 per cell]
Ge1 0.0000 0.0000 0.2524 [6 per cell]

Values from the calculation:
* formation energy from the elements: -480.8 meV/atom
* Fermi-level density of states: 8.7 states/eV/cell
* spin magnetization: 0.000 μB/f.u.

---

[12]
A relaxed structure of La12Pr5Tl2, computed with PBE.

a b c (Å): 15.913 9.535 8.927
angles (deg): 90.00 94.19 90.00
Space group C2/m (No. 12)
Inequivalent atoms, fractional coordinates:
La1 0.056 0.000 0.323 [4 per cell]
La2 0.079 0.500 0.890 [4 per cell]
La3 0.126 0.195 0.671 [8 per cell]
La4 0.147 0.314 0.240 [8 per cell]
Pr1 0.000 0.500 0.500 [2 per cell]
Pr2 0.190 0.000 0.014 [4 per cell]
Pr3 0.233 0.500 0.582 [4 per cell]
Tl1 0.000 0.178 0.000 [4 per cell]

Values from the calculation:
* formation energy from the elements: -25.5 meV/atom
* Fermi-level density of states: 52.0 states/eV/cell
* spin magnetization: 0.000 μB/f.u.

---

[13]
A relaxed structure of AgP2, computed with PBE.

a b c (Å): 4.2420 4.2420 7.4777
angles (deg): 90.00 90.00 120.00
Space group P6_3/mmc (No. 194)
Inequivalent atoms, fractional coordinates:
Ag1 0.0000 0.0000 0.2500 [2 per cell]
P1 0.3333 0.6667 0.1070 [4 per cell]

Values from the calculation:
* formation energy from the elements: 413.2 meV/atom
* Fermi-level density of states: 1.6 states/eV/cell
* spin magnetization: 0.000 μB/f.u.

---

[14]
A relaxed structure of GdTh2Os, computed with PBE.

a b c (Å): 3.632 3.632 8.484
angles (deg): 90.00 90.00 90.00
Space group P4/mmm (No. 123)
Inequivalent atoms, fractional coordinates:
Gd1 0.000 0.000 0.000 [1 per cell]
Th1 0.500 0.500 0.305 [2 per cell]
Os1 0.000 0.000 0.500 [1 per cell]

Values from the calculation:
* formation energy from the elements: -12.1 meV/atom
* Fermi-level density of states: 6.5 states/eV/cell
* spin magnetization: 8.500 μB/f.u.

---

[15]
A relaxed structure of Fe2Co5H2, computed with PBE.

a b c (Å): 8.132 3.561 5.691
angles (deg): 90.00 97.42 90.00
Space group C2/m (No. 12)
Inequivalent atoms, fractional coordinates:
Fe1 0.068 0.000 0.215 [4 per cell]
Co1 0.000 0.500 0.500 [2 per cell]
Co2 0.144 0.500 0.935 [4 per cell]
Co3 0.214 0.000 0.650 [4 per cell]
H1 0.209 0.500 0.637 [4 per cell]

Values from the calculation:
* raw total energy: -6.561 eV/atom
* Fermi-level density of states: 14.1 states/eV/cell
* spin magnetization: 12.327 μB/f.u.

---

[16]
A relaxed structure of BaPdN2O, computed with PBE.

a b c (Å): 5.320 5.320 4.609
angles (deg): 90.00 90.00 90.00
Space group P4/mmm (No. 123)
Inequivalent atoms, fractional coordinates:
Ba1 0.000 0.000 0.000 [1 per cell]
Pd1 0.500 0.500 0.500 [1 per cell]
N1 0.000 0.500 0.000 [2 per cell]
O1 0.000 0.000 0.500 [1 per cell]

Values from the calculation:
* Fermi-level density of states: 7.8 states/eV/cell
* spin magnetization: 5.285 μB/f.u.
* uncorrected formation energy: 1.77 eV per atom

---

[17]
A relaxed structure of CaIn2Sb, computed with PBE.

a b c (Å): 4.2232 4.2232 24.5934
angles (deg): 90.00 90.00 120.00
Space group R-3m (No. 166, hexagonal axes)
Inequivalent atoms, fractional coordinates:
Ca1 0.0000 0.0000 0.0000 [3 per cell]
In1 0.0000 0.0000 0.2395 [6 per cell]
Sb1 0.0000 0.0000 0.5000 [3 per cell]

Values from the calculation:
* Fermi-level density of states: 3.9 states/eV/cell
* spin magnetization: 0.000 μB/f.u.
* uncorrected formation energy: -0.14 eV per atom

---

[18]
A relaxed structure of AcErN, computed with PBE.

a b c (Å): 3.6193 3.6193 6.7117
angles (deg): 90.00 90.00 120.00
Space group P3m1 (No. 156)
Inequivalent atoms, fractional coordinates:
Ac1 0.0000 0.0000 0.0000 [1 per cell]
Er1 0.3333 0.6667 0.4306 [1 per cell]
N1 0.6667 0.3333 0.2838 [1 per cell]

Values from the calculation:
* Fermi-level density of states: 3.2 states/eV/cell
* spin magnetization: 0.002 μB/f.u.
* uncorrected formation energy: -0.82 eV per atom

---

[19]
A relaxed structure of Ac2PuIr2, computed with PBE.

a b c (Å): 10.930 6.272 8.079
angles (deg): 90.00 101.94 90.00
Space group C2/c (No. 15)
Inequivalent atoms, fractional coordinates:
Ac1 0.150 0.127 0.149 [8 per cell]
Pu1 0.000 0.389 0.750 [4 per cell]
Ir1 0.140 0.362 0.505 [8 per cell]

Values from the calculation:
* formation energy from the elements: -523.6 meV/atom
* Fermi-level density of states: 34.7 states/eV/cell
* spin magnetization: 5.633 μB/f.u.

---

[20]
A relaxed structure of La5Cr, computed with PBE.

a b c (Å): 6.4505 6.4505 5.9739
angles (deg): 90.00 90.00 120.00
Space group P6/mmm (No. 191)
Inequivalent atoms, fractional coordinates:
La1 0.0000 0.5000 0.0000 [3 per cell]
La2 0.3333 0.6667 0.5000 [2 per cell]
Cr1 0.0000 0.0000 0.5000 [1 per cell]

Values from the calculation:
* formation energy from the elements: 687.8 meV/atom
* Fermi-level density of states: 9.3 states/eV/cell
* spin magnetization: 3.217 μB/f.u.

---

[21]
A relaxed structure of Eu2GdTl, computed with PBE.

a b c (Å): 4.934 4.934 5.246
angles (deg): 90.00 90.00 90.00
Space group P4/mmm (No. 123)
Inequivalent atoms, fractional coordinates:
Eu1 0.000 0.500 0.000 [2 per cell]
Gd1 0.000 0.000 0.500 [1 per cell]
Tl1 0.500 0.500 0.500 [1 per cell]

Values from the calculation:
* formation energy from the elements: -149.7 meV/atom
* Fermi-level density of states: 4.2 states/eV/cell
* spin magnetization: 7.112 μB/f.u.

---

[22]
A relaxed structure of AlSiBr2, computed with PBE.

a b c (Å): 3.7525 3.7525 25.9380
angles (deg): 90.00 90.00 120.00
Space group R3m (No. 160, hexagonal axes)
Inequivalent atoms, fractional coordinates:
Al1 0.0000 0.0000 0.0000 [3 per cell]
Si1 0.0000 0.0000 0.2821 [3 per cell]
Br1 0.0000 0.0000 0.5465 [3 per cell]
Br2 0.0000 0.0000 0.7329 [3 per cell]

Values from the calculation:
* Fermi-level density of states: 3.5 states/eV/cell
* spin magnetization: 0.000 μB/f.u.
* uncorrected formation energy: -0.09 eV per atom

---

[23]
A relaxed structure of TaCu2Cl, computed with PBE.

a b c (Å): 2.912 2.912 7.426
angles (deg): 90.00 90.00 90.00
Space group P4/mmm (No. 123)
Inequivalent atoms, fractional coordinates:
Ta1 0.000 0.000 0.000 [1 per cell]
Cu1 0.500 0.500 0.252 [2 per cell]
Cl1 0.000 0.000 0.500 [1 per cell]

Values from the calculation:
* Fermi-level density of states: 2.7 states/eV/cell
* spin magnetization: 0.000 μB/f.u.
* uncorrected formation energy: 0.19 eV per atom

---

[24]
A relaxed structure of AcPaSb2O8, computed with PBE.

a b c (Å): 7.536 7.536 7.227
angles (deg): 90.00 90.00 90.00
Space group I-4m2 (No. 119)
Inequivalent atoms, fractional coordinates:
Ac1 0.000 0.000 0.000 [2 per cell]
Pa1 0.000 0.500 0.750 [2 per cell]
Sb1 0.000 0.000 0.500 [2 per cell]
Sb2 0.000 0.500 0.250 [2 per cell]
O1 0.000 0.215 0.699 [8 per cell]
O2 0.000 0.323 0.064 [8 per cell]

Values from the calculation:
* spin magnetization: 0.000 μB/f.u.
* uncorrected formation energy: -2.32 eV per atom

---

[25]
A relaxed structure of Ba2InTcCl, computed with PBE.

a b c (Å): 6.650 6.650 5.082
angles (deg): 90.00 90.00 90.00
Space group P4/mmm (No. 123)
Inequivalent atoms, fractional coordinates:
Ba1 0.000 0.500 0.000 [2 per cell]
In1 0.000 0.000 0.000 [1 per cell]
Tc1 0.000 0.000 0.500 [1 per cell]
Cl1 0.500 0.500 0.500 [1 per cell]

Values from the calculation:
* Fermi-level density of states: 5.3 states/eV/cell
* spin magnetization: 2.524 μB/f.u.
* uncorrected formation energy: 0.15 eV per atom